The following is a GGA-PBE calculation of crystalline Tb3PaTc2 at its relaxed geometry, from Alexandria.

As for the density of states at the Fermi level: 26.95 states/eV/cell. Its final energy is -7.353 eV per atom.

The structure belongs to space group C2/m (No. 12); the cell edges are 17.3887, 3.7400 and 12.0902 Å and the angles 90.00°, 127.22° and 90.00°. Symmetry generates all atoms from Tb at (0.0453, 0.0000, 0.2729), Tb at (0.1191, 0.5000, 0.0364), Tb at (0.2399, 0.0000, 0.6117), Pa at (0.1371, 0.5000, 0.7389), Tc at (0.0793, 0.5000, 0.4994) and Tc at (0.1774, 0.0000, 0.9159).